# 1
An optimized crystal structure of NaInGeAu. Source: the Alexandria database, functional PBE-GGA.

POSCAR file:
```
NaInGeAu
1.0
4.9177 0.0000 0.0000
2.4589 4.2589 0.0000
2.4589 1.4196 4.0153
Na Ge In Au
1 1 1 1
Direct
0.5000 0.5000 0.5000
0.2500 0.2500 0.2500
0.0000 0.0000 0.0000
0.7500 0.7500 0.7500
```

Properties
Formation enthalpy at 0 K ... -0.05 eV per atom
Raw total energy ... -0.112 Ha/atom

=====

# 2
An optimized crystal structure of NaIn2GeAu. Source: the Alexandria database, functional PBE-GGA.

POSCAR file:
```
NaIn2GeAu
1.0
5.3993 0.0000 0.0000
0.0000 4.9834 0.0000
0.0000 0.0000 5.3993
Au In Ge Na
1 2 1 1
Direct
0.0000 0.5000 0.0000
0.0000 0.0000 0.5000
0.5000 0.0000 0.0000
0.5000 0.5000 0.5000
0.0000 0.0000 0.0000
```

Properties
Formation enthalpy at 0 K ... 0.72 eV per atom
Energy above the most stable polymorph in this dataset ... 0.000 eV per atom
Raw total energy ... -0.082 Ha/atom

=====

# 3
An optimized crystal structure of NaIn2GeAu. Source: the Alexandria database, functional PBE-GGA.

POSCAR file:
```
NaIn2GeAu
1.0
-3.5547 2.4303 -3.2638
-3.7639 -2.7109 2.0808
-0.7457 3.8713 3.6948
In Au Na Ge
2 1 1 1
Direct
0.0000 0.0000 0.5000
0.5000 0.0000 0.0000
0.5000 0.5000 0.5000
0.0000 0.0000 0.0000
0.0000 0.5000 0.0000
```

Properties
Formation enthalpy at 0 K ... 0.78 eV per atom
Energy above the most stable polymorph in this dataset ... 0.060 eV per atom
Raw total energy ... -0.079 Ha/atom

=====

# 4
An optimized crystal structure of Na2InGe3Au4. Source: the Alexandria database, functional PBE-GGA.

POSCAR file:
```
Na2InGe3Au4
1.0
4.5355 0.0000 0.0000
0.0000 4.5355 0.0000
0.0000 0.0000 10.8792
Na Au In Ge
2 4 1 3
Direct
0.0000 0.5000 0.7660
0.5000 0.0000 0.2340
0.0000 0.0000 0.0000
0.5000 0.0000 0.6468
0.5000 0.5000 0.0000
0.0000 0.5000 0.3532
0.5000 0.5000 0.5000
0.5000 0.0000 0.8775
0.0000 0.5000 0.1225
0.0000 0.0000 0.5000
```

Properties
Formation enthalpy at 0 K ... -0.18 eV per atom
Raw total energy ... -0.125 Ha/atom

=====

What did the fourth record say?
An optimized crystal structure of Na2InGe3Au4. Source: the Alexandria database, functional PBE-GGA.

POSCAR file:
```
Na2InGe3Au4
1.0
4.5355 0.0000 0.0000
0.0000 4.5355 0.0000
0.0000 0.0000 10.8792
Na Au In Ge
2 4 1 3
Direct
0.0000 0.5000 0.7660
0.5000 0.0000 0.2340
0.0000 0.0000 0.0000
0.5000 0.0000 0.6468
0.5000 0.5000 0.0000
0.0000 0.5000 0.3532
0.5000 0.5000 0.5000
0.5000 0.0000 0.8775
0.0000 0.5000 0.1225
0.0000 0.0000 0.5000
```

Properties
Formation enthalpy at 0 K ... -0.18 eV per atom
Raw total energy ... -0.125 Ha/atom

=====

What is the formation enthalpy at 0 K in the fourth record? -0.18 eV per atom

=====

Which value of formation enthalpy at 0 K does entry 1 give? -0.05 eV per atom

=====

Which value of formation enthalpy at 0 K does entry 2 give? 0.72 eV per atom